VASP calculation (PBE-GGA) on a relaxed Pm3SiTeCl crystal.

## Properties
**Uncorrected formation energy**: -1.146 eV per atom
**Spin magnetization**: 0.96 μB per formula unit

```
data_Pm3SiTeCl
_cell_length_a 8.857
_cell_length_b 4.258
_cell_length_c 9.921
_cell_angle_alpha 90.00
_cell_angle_beta 94.11
_cell_angle_gamma 90.00
_symmetry_space_group_name_H-M 'P 1 21/m 1'
_symmetry_Int_Tables_number 11
loop_
_symmetry_equiv_pos_as_xyz
'x,y,z'
'-x,-y,-z'
'-x,y+1/2,-z'
'x,-y+1/2,z'
loop_
_atom_site_label
_atom_site_type_symbol
_atom_site_fract_x
_atom_site_fract_y
_atom_site_fract_z
_atom_site_occupancy
Pm1 Pm 0.099 0.250 0.350 1
Pm2 Pm 0.169 0.250 0.931 1
Pm3 Pm 0.363 0.750 0.641 1
Si1 Si 0.134 0.250 0.646 1
Te1 Te 0.365 0.750 0.318 1
Cl1 Cl 0.369 0.750 0.930 1
```